The following is a DFT calculation (PBE-GGA) of a geometry-optimized Ba2CrIrOs structure.

```
Ba2CrIrOs
1.0
6.0418 0.0000 0.0000
0.0000 6.0418 0.0000
0.0000 0.0000 4.3990
Ba Cr Ir Os
2 1 1 1
direct
0.0000 0.5000 0.0000
0.5000 0.0000 0.0000
0.0000 0.0000 0.0000
0.0000 0.0000 0.5000
0.5000 0.5000 0.5000
```

Output
VASP energy = -26.45 eV for the cell shown
Crystal system = tetragonal
V = 161 Å³ per cell
Magnetization = 5.53 μB/f.u.